The following is a GGA-PBE calculation of crystalline Na2LaTl9 at its relaxed geometry, from the Alexandria database.

Structure (extended XYZ):
```
12
Lattice="-0.326 1.228 4.709 4.431 -1.876 0.796 6.044 13.012 -2.975" Properties=species:S:1:pos:R:3 pbc="T T T"
La 0.000 0.000 0.000
Tl 7.239 9.876 -2.074
Tl 6.100 8.388 0.760
Tl 4.861 11.428 -0.118
Tl 2.053 -0.324 2.752
Tl 0.858 2.811 1.852
Tl 5.238 5.568 -1.089
Tl 2.859 7.120 0.867
Tl 4.050 3.975 1.769
Tl 3.236 1.259 -0.105
Na 1.997 4.300 -0.983
Na 4.047 8.712 -1.992
```

Output
DOS(E_F), states/eV/f.u.: 7.23
Space group: P4/mmm, No. 123
Formation energy from the elements, kJ/mol of formula units: -166